[1]
A plane-wave DFT calculation with PBE was carried out for a relaxed Cr2InFe crystal. Values from VASP.

The structure in Quantum ESPRESSO input format:
```
&SYSTEM
  ibrav = 0, nat = 4, ntyp = 3
/
ATOMIC_SPECIES
Fe 55.84 Fe.upf
In 114.82 In.upf
Cr 52.00 Cr.upf
CELL_PARAMETERS angstrom
-3.277 -0.936 3.453
4.505 -1.556 0.907
0.562 2.301 1.157
ATOMIC_POSITIONS crystal
Fe 0.500 0.000 0.500
In 0.000 0.500 0.500
Cr 0.000 0.000 0.000
Cr 0.500 0.500 0.000
```

Calculated values
Formation energy   0.58 eV/atom
Total DFT energy (no corrections)   -7.0326 eV/atom
Total magnetic moment   2.54 Bohr magnetons per cell
Space group   No. 65

=====

[2]
A plane-wave DFT calculation with PBE was carried out for a relaxed CrIn2Fe crystal. Values from VASP.

The structure in Quantum ESPRESSO input format:
```
&SYSTEM
  ibrav = 0, nat = 4, ntyp = 3
/
ATOMIC_SPECIES
Cr 52.00 Cr.upf
In 114.82 In.upf
Fe 55.84 Fe.upf
CELL_PARAMETERS angstrom
-0.256 -0.400 5.283
-4.402 -2.223 1.954
3.547 -1.218 -3.751
ATOMIC_POSITIONS crystal
Cr 0.500 0.500 0.000
In 0.000 0.000 0.000
In 0.250 0.750 0.500
Fe 0.750 0.250 0.500
```

Calculated values
Formation energy   0.37 eV/atom
Total DFT energy (no corrections)   -5.5210 eV/atom
Total magnetic moment   5.98 Bohr magnetons per cell
Space group   No. 119

=====

[3]
A plane-wave DFT calculation with PBE was carried out for a relaxed CrIn2Fe crystal. Values from VASP.

The structure in Quantum ESPRESSO input format:
```
&SYSTEM
  ibrav = 0, nat = 4, ntyp = 3
/
ATOMIC_SPECIES
In 114.82 In.upf
Fe 55.84 Fe.upf
Cr 52.00 Cr.upf
CELL_PARAMETERS angstrom
-0.994 -0.783 -4.730
-2.856 -3.976 -0.106
-0.475 4.098 2.638
ATOMIC_POSITIONS crystal
In 0.500 0.500 0.000
Fe 0.250 0.750 0.500
Cr 0.750 0.250 0.500
In 0.000 0.000 0.000
```

Calculated values
Formation energy   0.33 eV/atom
Total DFT energy (no corrections)   -5.5598 eV/atom
Total magnetic moment   5.13 Bohr magnetons per cell
Space group   No. 139

=====

[4]
A plane-wave DFT calculation with PBE was carried out for a relaxed CrIn2Fe crystal. Values from VASP.

The structure in Quantum ESPRESSO input format:
```
&SYSTEM
  ibrav = 0, nat = 4, ntyp = 3
/
ATOMIC_SPECIES
In 114.82 In.upf
Fe 55.84 Fe.upf
Cr 52.00 Cr.upf
CELL_PARAMETERS angstrom
4.206 0.000 0.000
0.000 3.091 0.008
0.000 1.503 5.375
ATOMIC_POSITIONS crystal
In 0.500 0.292 0.289
In 0.000 0.958 0.963
Fe 0.500 0.570 0.728
Cr 0.000 0.680 0.520
```

Calculated values
Formation energy   0.43 eV/atom
Total DFT energy (no corrections)   -5.4657 eV/atom
Total magnetic moment   0.10 Bohr magnetons per cell
Space group   No. 6

=====

[5]
A plane-wave DFT calculation with PBE was carried out for a relaxed Cr2InFe crystal. Values from VASP.

The structure in Quantum ESPRESSO input format:
```
&SYSTEM
  ibrav = 0, nat = 4, ntyp = 3
/
ATOMIC_SPECIES
In 114.82 In.upf
Cr 52.00 Cr.upf
Fe 55.84 Fe.upf
CELL_PARAMETERS angstrom
-4.937 -0.539 0.012
-1.852 -3.916 2.428
2.837 4.040 0.539
ATOMIC_POSITIONS crystal
In 0.250 0.750 0.500
Cr 0.513 0.513 0.000
Fe 0.750 0.250 0.500
Cr 0.987 0.987 0.000
```

Calculated values
Formation energy   0.40 eV/atom
Total DFT energy (no corrections)   -7.2119 eV/atom
Total magnetic moment   1.84 Bohr magnetons per cell
Space group   No. 71

=====

[6]
A plane-wave DFT calculation with PBE was carried out for a relaxed CrIn2Fe2 crystal. Values from VASP.

The structure in Quantum ESPRESSO input format:
```
&SYSTEM
  ibrav = 0, nat = 10, ntyp = 3
/
ATOMIC_SPECIES
In 114.82 In.upf
Cr 52.00 Cr.upf
Fe 55.84 Fe.upf
CELL_PARAMETERS angstrom
6.012 0.000 0.000
0.000 6.012 0.000
0.000 0.000 4.220
ATOMIC_POSITIONS crystal
In 0.321 0.179 0.500
Cr 0.500 0.500 0.000
In 0.821 0.321 0.500
Fe 0.631 0.131 0.000
Cr 0.000 0.000 0.000
Fe 0.869 0.631 0.000
Fe 0.369 0.869 0.000
In 0.679 0.821 0.500
Fe 0.131 0.369 0.000
In 0.179 0.679 0.500
```

Calculated values
Formation energy   0.40 eV/atom
Total DFT energy (no corrections)   -6.0022 eV/atom
Total magnetic moment   0.00 Bohr magnetons per cell
Space group   No. 127

=====

[7]
A plane-wave DFT calculation with PBE was carried out for a relaxed CrIn2Fe crystal. Values from VASP.

The structure in Quantum ESPRESSO input format:
```
&SYSTEM
  ibrav = 0, nat = 4, ntyp = 3
/
ATOMIC_SPECIES
Cr 52.00 Cr.upf
Fe 55.84 Fe.upf
In 114.82 In.upf
CELL_PARAMETERS angstrom
4.625 0.000 0.000
2.312 4.005 0.000
2.312 1.335 3.776
ATOMIC_POSITIONS crystal
Cr 0.500 0.500 0.500
Fe 0.750 0.750 0.750
In 0.000 0.000 0.000
In 0.250 0.250 0.250
```

Calculated values
Formation energy   0.58 eV/atom
Total DFT energy (no corrections)   -5.3107 eV/atom
Total magnetic moment   5.15 Bohr magnetons per cell
Space group   No. 216

=====

[8]
A plane-wave DFT calculation with PBE was carried out for a relaxed CrIn2Fe crystal. Values from VASP.

The structure in Quantum ESPRESSO input format:
```
&SYSTEM
  ibrav = 0, nat = 4, ntyp = 3
/
ATOMIC_SPECIES
In 114.82 In.upf
Cr 52.00 Cr.upf
Fe 55.84 Fe.upf
CELL_PARAMETERS angstrom
4.894 0.027 -0.009
-1.359 4.701 -0.009
0.003 0.005 2.992
ATOMIC_POSITIONS crystal
In 0.000 0.000 0.000
In 0.500 0.500 0.000
Cr 0.500 0.000 0.500
Fe 0.000 0.500 0.500
```

Calculated values
Formation energy   0.36 eV/atom
Total DFT energy (no corrections)   -5.5303 eV/atom
Total magnetic moment   5.33 Bohr magnetons per cell
Space group   No. 65